# 1
A plane-wave DFT calculation with PBE-GGA was carried out for a relaxed structure of Zr2InPd9.

Calculated values
The crystal system is tetragonal. Its density is 10554 kg/m3. For the formation energy, the calculation gives -0.71 eV per atom. Its space group is P4/mmm.

abc: 4.0358 4.0358 12.1240
angles: 90.00 90.00 90.00
Closest atoms and distances in Å follow each position.
Element x y z (fractional)
Zr1 0.0000 0.0000 0.1688  12 Pd 2.81-2.87
Zr2 0.0000 0.0000 0.8312  12 Pd 2.81-2.87
In1 0.0000 0.0000 0.5000  12 Pd 2.85-2.89
Pd1 0.0000 0.5000 0.0000  8 Pd 2.84-2.85, 4 Zr 2.87
Pd2 0.0000 0.5000 0.3299  2 Zr 2.81, 8 Pd 2.84-2.89, 2 In 2.89
Pd3 0.0000 0.5000 0.6701  2 Zr 2.81, 8 Pd 2.84-2.89, 2 In 2.89
Pd4 0.5000 0.0000 0.0000  8 Pd 2.84-2.85, 4 Zr 2.87
Pd5 0.5000 0.0000 0.3299  2 Zr 2.81, 8 Pd 2.84-2.89, 2 In 2.89
Pd6 0.5000 0.0000 0.6701  2 Zr 2.81, 8 Pd 2.84-2.89, 2 In 2.89
Pd7 0.5000 0.5000 0.1653  8 Pd 2.84, 4 Zr 2.85
Pd8 0.5000 0.5000 0.5000  4 In 2.85, 8 Pd 2.89
Pd9 0.5000 0.5000 0.8347  8 Pd 2.84, 4 Zr 2.85

# 2
A plane-wave DFT calculation with PBE-GGA was carried out for a relaxed structure of SmHoEr5.

Calculated values
The crystal system is orthorhombic. The calculation puts the energy above the most stable polymorph in this dataset at 810.1 meV/atom. Its density is 6737 kg/m3. For the formation energy, the calculation gives 1.01 eV per atom. Its space group is Imm2.

abc: 7.6900 7.6900 7.6900
angles: 117.60 81.56 133.12
Closest atoms and distances in Å follow each position.
Element x y z (fractional)
Sm1 0.0000 0.0000 0.0000  4 Er 2.90-3.22
Ho1 0.7609 0.2609 0.5000  2 Er 2.99
Er1 0.0241 0.2677 0.7564  1 Ho 2.99, 1 Er 3.25, 1 Sm 3.28
Er2 0.2635 0.5844 0.3209  2 Er 2.85-3.02, 1 Sm 3.02
Er3 0.2635 0.9425 0.6791  2 Er 2.85-3.02, 1 Sm 3.02
Er4 0.5113 0.2677 0.2436  1 Ho 2.99, 1 Er 3.25, 1 Sm 3.28
Er5 0.5263 0.5263 0.0000  2 Sm 2.90-3.22, 2 Er 3.02

# 3
A plane-wave DFT calculation with PBE-GGA was carried out for a relaxed structure of PuScGa2Pd2.

Calculated values
The crystal system is trigonal. Its density is 9332 kg/m3. For the formation energy, the calculation gives -0.70 eV per atom. Its space group is P-3m1.

abc: 4.4756 4.4756 6.5775
angles: 90.00 90.00 120.00
Closest atoms and distances in Å follow each position.
Element x y z (fractional)
Pu1 0.0000 0.0000 0.0000  6 Ga 3.19, 6 Pd 3.19, 2 Sc 3.29
Sc1 0.0000 0.0000 0.5000  6 Pd 2.95, 6 Ga 2.95, 2 Pu 3.29
Ga1 0.3333 0.6667 0.7161  4 Pd 2.58-2.84
Ga2 0.6667 0.3333 0.2839  4 Pd 2.58-2.84
Pd1 0.3333 0.6667 0.2845  4 Ga 2.58-2.84
Pd2 0.6667 0.3333 0.7155  4 Ga 2.58-2.84

# 4
A plane-wave DFT calculation with PBE-GGA was carried out for a relaxed structure of TcIr2S.

Calculated values
The crystal system is cubic. The calculation puts the energy above the most stable polymorph in this dataset at 275.2 meV/atom. Its density is 14259 kg/m3. For the formation energy (no corrections), the calculation gives 0.80 eV per atom. Its space group is Fm-3m.

abc: 4.3923 4.3923 4.3923
angles: 60.00 60.00 60.00
Closest atoms and distances in Å follow each position.
Element x y z (fractional)
Tc1 0.0000 0.0000 0.0000  8 Ir 2.69
Ir1 0.2500 0.2500 0.2500  4 S 2.69, 4 Tc 2.69
Ir2 0.7500 0.7500 0.7500  4 S 2.69, 4 Tc 2.69
S1 0.5000 0.5000 0.5000  8 Ir 2.69

# 5
A plane-wave DFT calculation with PBE-GGA was carried out for a relaxed structure of NaSb2CI.

Calculated values
The crystal system is tetragonal. The calculation puts the energy above the most stable polymorph in this dataset at 1361.8 meV/atom. Its density is 3943 kg/m3. For the formation energy (no corrections), the calculation gives 1.96 eV per atom. Its space group is P4/mmm.

abc: 5.5266 5.5266 5.5894
angles: 90.00 90.00 90.00
Closest atoms and distances in Å follow each position.
Element x y z (fractional)
Na1 0.0000 0.0000 0.0000  4 Sb 2.76, 2 I 2.79
Sb1 0.0000 0.5000 0.0000  2 Na 2.76
Sb2 0.5000 0.0000 0.0000  2 Na 2.76
C1 0.5000 0.5000 0.5000  4 I 3.91, 8 Sb 3.93
I1 0.0000 0.0000 0.5000  2 Na 2.79

# 6
A plane-wave DFT calculation with PBE-GGA was carried out for a relaxed structure of CaNbBiO6.

Calculated values
The crystal system is trigonal. Its density is 5477 kg/m3. For the formation energy (no corrections), the calculation gives -2.00 eV per atom. Its space group is P-31c.

abc: 5.5131 5.5131 10.0893
angles: 90.00 90.00 120.00
Closest atoms and distances in Å follow each position.
Element x y z (fractional)
Ca1 0.0000 0.0000 0.0000  6 O 2.45
Ca2 0.0000 0.0000 0.5000  6 O 2.45
Nb1 0.3333 0.6667 0.2500  6 O 2.03
Nb2 0.6667 0.3333 0.7500  6 O 2.03
Bi1 0.3333 0.6667 0.7500  6 O 2.15
Bi2 0.6667 0.3333 0.2500  6 O 2.15
O1 0.0157 0.3742 0.1377  1 Nb 2.03, 1 Bi 2.15
O2 0.0157 0.6416 0.3623  1 Nb 2.03, 1 Bi 2.15
O3 0.3584 0.3742 0.3623  1 Nb 2.03, 1 Bi 2.15
O4 0.3584 0.9843 0.1377  1 Nb 2.03, 1 Bi 2.15
O5 0.3742 0.0157 0.6377  1 Nb 2.03, 1 Bi 2.15
O6 0.3742 0.3584 0.8623  1 Nb 2.03, 1 Bi 2.15
O7 0.6258 0.6416 0.1377  1 Nb 2.03, 1 Bi 2.15
O8 0.6258 0.9843 0.3623  1 Nb 2.03, 1 Bi 2.15
O9 0.6416 0.0157 0.8623  1 Nb 2.03, 1 Bi 2.15
O10 0.6416 0.6258 0.6377  1 Nb 2.03, 1 Bi 2.15
O11 0.9843 0.3584 0.6377  1 Nb 2.03, 1 Bi 2.15
O12 0.9843 0.6258 0.8623  1 Nb 2.03, 1 Bi 2.15

# 7
A plane-wave DFT calculation with PBE-GGA was carried out for a relaxed structure of BaGa2Ge2.

Calculated values
The crystal system is orthorhombic. Its density is 5664 kg/m3. For the formation energy, the calculation gives -0.41 eV per atom. Its space group is Pnma.

abc: 10.2049 4.4062 11.0073
angles: 90.00 90.00 90.00
Closest atoms and distances in Å follow each position.
Element x y z (fractional)
Ba1 0.2478 0.2500 0.1693  7 Ge 3.38-3.73, 7 Ga 3.39-3.78
Ba2 0.2522 0.7500 0.6693  7 Ge 3.38-3.73, 7 Ga 3.39-3.78
Ba3 0.7478 0.2500 0.3307  7 Ge 3.38-3.73, 7 Ga 3.39-3.78
Ba4 0.7522 0.7500 0.8307  7 Ge 3.38-3.73, 7 Ga 3.39-3.78
Ga1 0.0416 0.2500 0.8684  4 Ge 2.55-2.62
Ga2 0.1131 0.2500 0.4512  4 Ge 2.60-2.61
Ga3 0.3869 0.7500 0.9512  4 Ge 2.60-2.61
Ga4 0.4584 0.7500 0.3684  4 Ge 2.55-2.62
Ga5 0.5416 0.2500 0.6316  4 Ge 2.55-2.62
Ga6 0.6131 0.2500 0.0488  4 Ge 2.60-2.61
Ga7 0.8869 0.7500 0.5488  4 Ge 2.60-2.61
Ga8 0.9584 0.7500 0.1316  4 Ge 2.55-2.62
Ge1 0.0300 0.7500 0.3532  4 Ga 2.55-2.60
Ge2 0.1315 0.7500 0.9557  4 Ga 2.57-2.62
Ge3 0.3685 0.2500 0.4557  4 Ga 2.57-2.62
Ge4 0.4700 0.2500 0.8532  4 Ga 2.55-2.60
Ge5 0.5300 0.7500 0.1468  4 Ga 2.55-2.60
Ge6 0.6315 0.7500 0.5443  4 Ga 2.57-2.62
Ge7 0.8685 0.2500 0.0443  4 Ga 2.57-2.62
Ge8 0.9700 0.2500 0.6468  4 Ga 2.55-2.60

# 8
A plane-wave DFT calculation with PBE-GGA was carried out for a relaxed structure of NaTlTeO6.

Calculated values
The crystal system is tetragonal. Its density is 5815 kg/m3. For the formation energy (no corrections), the calculation gives -0.70 eV per atom. Its space group is P4_2nm.

abc: 5.0718 5.0718 10.0132
angles: 90.00 90.00 90.00
Closest atoms and distances in Å follow each position.
Element x y z (fractional)
Na1 0.0000 0.0000 0.0000  6 O 2.30-2.37
Na2 0.5000 0.5000 0.5000  6 O 2.30-2.37
Tl1 0.0000 0.0000 0.6679  6 O 2.27-2.31
Tl2 0.5000 0.5000 0.1679  6 O 2.27-2.31
Te1 0.0000 0.0000 0.3347  6 O 1.94
Te2 0.5000 0.5000 0.8347  6 O 1.94
O1 0.1805 0.1805 0.4794  1 Te 1.94
O2 0.1852 0.1852 0.1936  1 Te 1.94
O3 0.2292 0.2292 0.8299  1 Te 1.94
O4 0.2708 0.7292 0.3299  1 Te 1.94
O5 0.3148 0.6852 0.6936  1 Te 1.94
O6 0.3195 0.6805 0.9794  1 Te 1.94
O7 0.6805 0.3195 0.9794  1 Te 1.94
O8 0.6852 0.3148 0.6936  1 Te 1.94
O9 0.7292 0.2708 0.3299  1 Te 1.94
O10 0.7708 0.7708 0.8299  1 Te 1.94
O11 0.8148 0.8148 0.1936  1 Te 1.94
O12 0.8195 0.8195 0.4794  1 Te 1.94